1.
A plane-wave DFT calculation with GGA-PBEsol was carried out for a geometry-optimized KNb2AlSb structure.

```
data_KNb2AlSb
_symmetry_space_group_name_H-M 'P 1'
_symmetry_Int_Tables_number 1
_cell_length_a 4.8614
_cell_length_b 4.8614
_cell_length_c 5.1940
_cell_angle_alpha 90.00
_cell_angle_beta 90.00
_cell_angle_gamma 90.00
loop_
_symmetry_equiv_pos_as_xyz
'x,y,z'
loop_
_atom_site_label
_atom_site_fract_x
_atom_site_fract_y
_atom_site_fract_z
K1 0.0000 0.0000 0.0000
Nb1 0.0000 0.5000 0.5000
Nb2 0.5000 0.0000 0.5000
Al1 0.0000 0.0000 0.5000
Sb1 0.5000 0.5000 0.0000
```

Results
E_form (uncorrected): 1.25 eV/atom
total magnetic moment: 0.0 μB per formula unit



2.
A plane-wave DFT calculation with GGA-PBEsol was carried out for a geometry-optimized Mg2InRu structure.

```
data_Mg2InRu
_symmetry_space_group_name_H-M 'P 1'
_symmetry_Int_Tables_number 1
_cell_length_a 4.0116
_cell_length_b 4.0116
_cell_length_c 8.5406
_cell_angle_alpha 90.00
_cell_angle_beta 90.00
_cell_angle_gamma 90.00
loop_
_symmetry_equiv_pos_as_xyz
'x,y,z'
loop_
_atom_site_label
_atom_site_fract_x
_atom_site_fract_y
_atom_site_fract_z
Mg1 0.0000 0.0000 0.0000
Mg2 0.0000 0.5000 0.2500
Mg3 0.5000 0.0000 0.7500
Mg4 0.5000 0.5000 0.5000
In1 0.0000 0.5000 0.7500
In2 0.5000 0.0000 0.2500
Ru1 0.0000 0.0000 0.5000
Ru2 0.5000 0.5000 0.0000
```

Results
ΔE_f: -55 meV/atom
total magnetic moment: 0.0 μB per formula unit